Material: SrMn4O8
Method: DFT, PBE+U
State: relaxed

E: -7.220 eV per atom
Polymorph energy (0 for the lowest one): 0.0 meV per atom

abc: 6.106 6.106 7.738
angles: 123.30 123.30 56.64
Fractional coordinates of all 13 atoms:
Sr  0.000  0.000  0.000
Mn  0.252  0.748  0.500
Mn  0.259  0.259  0.517
Mn  0.741  0.741  0.483
Mn  0.748  0.252  0.500
O  0.010  0.529  0.682
O  0.025  0.025  0.353
O  0.471  0.990  0.318
O  0.483  0.483  0.656
O  0.517  0.517  0.344
O  0.529  0.010  0.682
O  0.975  0.975  0.647
O  0.990  0.471  0.318